1.
Material: Tb2PrDyTl4
Method: DFT, PBE
State: optimized geometry

Values from the calculation:
For the magnetic moment, the calculation gives 0.00 μB per cell. For the energy, the calculation gives -92.8 eV/cell. The calculation puts the energy of formation from the pure elements at -0.35 eV/atom.

Lattice parameters (Å, degrees): 5.4246 5.4246 26.6518 90.00 90.00 120.00
Space group R-3m (No. 166, hexagonal axes)
Inequivalent atoms, fractional coordinates:
Tb (0.0000, 0.0000, 0.2494) (multiplicity 6)
Pr (0.0000, 0.0000, 0.0000) (multiplicity 3)
Dy (0.0000, 0.0000, 0.5000) (multiplicity 3)
Tl (0.0000, 0.0000, 0.1267) (multiplicity 6)
Tl (0.0000, 0.0000, 0.3768) (multiplicity 6)

***

2.
Material: Tb6Pr3Dy2Tl
Method: DFT, PBE
State: optimized geometry

Values from the calculation:
For the magnetic moment, the calculation gives 0.01 μB per cell. For the energy, the calculation gives -107.6 eV/cell. The calculation puts the energy of formation from the pure elements at -0.01 eV/atom.

Lattice parameters (Å, degrees): 6.191 10.733 11.752 90.00 100.20 90.00
Space group C2/m (No. 12)
Inequivalent atoms, fractional coordinates:
Tb (0.244, 0.164, 0.243) (multiplicity 8)
Tb (0.247, 0.000, 0.756) (multiplicity 4)
Pr (0.000, 0.168, 0.500) (multiplicity 4)
Pr (0.000, 0.500, 0.500) (multiplicity 2)
Dy (0.000, 0.334, 0.000) (multiplicity 4)
Tl (0.000, 0.000, 0.000) (multiplicity 2)

***

3.
Material: Tb2PrDyTl2
Method: DFT, PBE
State: optimized geometry

Values from the calculation:
For the magnetic moment, the calculation gives 0.00 μB per cell. For the energy, the calculation gives -50.0 eV/cell. The calculation puts the energy of formation from the pure elements at -0.27 eV/atom.

Lattice parameters (Å, degrees): 5.170 10.119 6.866 90.00 90.00 90.00
Space group Pmc2_1 (No. 26)
Inequivalent atoms, fractional coordinates:
Tb (0.000, 0.044, 0.000) (multiplicity 2)
Tb (0.500, 0.181, 0.284) (multiplicity 2)
Pr (0.500, 0.457, 0.907) (multiplicity 2)
Dy (0.000, 0.309, 0.630) (multiplicity 2)
Tl (0.000, 0.362, 0.171) (multiplicity 2)
Tl (0.500, 0.133, 0.746) (multiplicity 2)

***

4.
Material: TbPr2Dy6Tm3
Method: DFT, PBE
State: optimized geometry

Values from the calculation:
For the magnetic moment, the calculation gives 0.00 μB per cell. For the energy, the calculation gives -109.9 eV/cell. The calculation puts the energy of formation from the pure elements at 0.02 eV/atom.

Lattice parameters (Å, degrees): 6.169 10.676 11.786 90.00 100.01 90.00
Space group C2/m (No. 12)
Inequivalent atoms, fractional coordinates:
Tb (0.000, 0.000, 0.000) (multiplicity 2)
Pr (0.000, 0.333, 0.000) (multiplicity 4)
Dy (0.247, 0.000, 0.745) (multiplicity 4)
Dy (0.248, 0.334, 0.745) (multiplicity 8)
Tm (0.000, 0.166, 0.500) (multiplicity 4)
Tm (0.000, 0.500, 0.500) (multiplicity 2)

***

5.
Material: Tb6Pr2Dy3Tm
Method: DFT, PBE
State: optimized geometry

Values from the calculation:
For the magnetic moment, the calculation gives 0.00 μB per cell. For the energy, the calculation gives -110.9 eV/cell. The calculation puts the energy of formation from the pure elements at 0.02 eV/atom.

Lattice parameters (Å, degrees): 6.191 10.717 11.858 90.00 99.98 90.00
Space group C2/m (No. 12)
Inequivalent atoms, fractional coordinates:
Tb (0.247, 0.000, 0.247) (multiplicity 4)
Tb (0.250, 0.166, 0.753) (multiplicity 8)
Pr (0.000, 0.334, 0.500) (multiplicity 4)
Dy (0.000, 0.166, 0.000) (multiplicity 4)
Dy (0.000, 0.500, 0.000) (multiplicity 2)
Tm (0.000, 0.000, 0.500) (multiplicity 2)

***

6.
Material: Tb4Pr2DyTm2
Method: DFT, PBE
State: optimized geometry

Values from the calculation:
For the magnetic moment, the calculation gives 0.00 μB per cell. For the energy, the calculation gives -40.9 eV/cell. The calculation puts the energy of formation from the pure elements at 0.08 eV/atom.

Lattice parameters (Å, degrees): 6.018 6.628 8.604 79.84 70.45 65.24
Space group P-1 (No. 2)
Inequivalent atoms, fractional coordinates:
Tb (0.116, 0.127, 0.263) (multiplicity 2)
Tb (0.240, 0.575, 0.384) (multiplicity 2)
Pr (0.232, 0.324, 0.843) (multiplicity 2)
Dy (0.500, 0.000, 0.500) (multiplicity 1)
Tm (0.322, 0.770, 0.945) (multiplicity 2)

***

7.
Material: Tb2PrDyTm
Method: DFT, PBE
State: optimized geometry

Values from the calculation:
For the magnetic moment, the calculation gives 0.00 μB per cell. For the energy, the calculation gives -84.7 eV/cell. The calculation puts the energy of formation from the pure elements at 0.39 eV/atom.

Lattice parameters (Å, degrees): 8.410 11.503 7.209 90.00 90.00 90.00
Space group Cmcm (No. 63)
Inequivalent atoms, fractional coordinates:
Tb (0.190, 0.000, 0.000) (multiplicity 8)
Pr (0.000, 0.228, 0.250) (multiplicity 4)
Dy (0.000, 0.498, 0.250) (multiplicity 4)
Tm (0.000, 0.223, 0.750) (multiplicity 4)

***

8.
Material: TbPr2DyTm2
Method: DFT, PBE
State: optimized geometry

Values from the calculation:
For the magnetic moment, the calculation gives 0.00 μB per cell. For the energy, the calculation gives -54.6 eV/cell. The calculation puts the energy of formation from the pure elements at 0.07 eV/atom.

Lattice parameters (Å, degrees): 7.021 5.664 9.819 90.00 90.00 90.00
Space group Pmma (No. 51)
Inequivalent atoms, fractional coordinates:
Tb (0.000, 0.000, 0.000) (multiplicity 2)
Pr (0.000, 0.500, 0.500) (multiplicity 2)
Pr (0.250, 0.000, 0.325) (multiplicity 2)
Dy (0.250, 0.500, 0.839) (multiplicity 2)
Tm (0.250, 0.000, 0.665) (multiplicity 2)
Tm (0.250, 0.500, 0.166) (multiplicity 2)